A plane-wave DFT calculation with PBE was carried out for an optimized crystal structure of Hg3OsN.

Cell and atoms, written as POSCAR:
```
Hg3OsN
1.0
-3.962 2.495 2.386
-0.242 -3.824 3.597
3.444 2.602 2.998
Hg N Os
3 1 1
direct
0.000 0.000 0.500
0.500 0.000 0.000
0.000 0.500 0.000
0.500 0.500 0.500
0.000 0.000 0.000
```

## Properties
Distance to the lowest polymorph of the same formula = 402.5 meV/atom
DOS at the Fermi energy = 17.35 states/eV/f.u.
Symmetry = Pm-3m, No. 221
Energy relative to the elements, uncorrected = 2.054 eV/atom
VASP energy = -2.04 eV/atom